Entry from the Alexandria database: a relaxed structure of KIn2Te4Au (PBE).

```
data_KIn2Te4Au
_cell_length_a 6.613
_cell_length_b 6.613
_cell_length_c 14.415
_cell_angle_alpha 90.00
_cell_angle_beta 90.00
_cell_angle_gamma 90.00
_space_group_name_H-M_alt 'I -4 2 m'
_space_group_IT_number 121
_space_group_name_Hall 'I -4 2'
loop_
_atom_site_label
_atom_site_type_symbol
_atom_site_fract_x
_atom_site_fract_y
_atom_site_fract_z
K1 K 0.000 0.000 0.000
In1 In 0.000 0.500 0.250
Te1 Te 0.217 0.217 0.365
Au1 Au 0.000 0.000 0.500
```

Computed properties:
- uncorrected formation energy (eV/atom) = -0.36
- total moment (μB/cell) = 0.0